## KNaSn2 (PBE)

Data for an optimized crystal structure of KNaSn2.

Unit cell a=5.110 b=5.110 c=11.847 alpha=77.55 beta=77.55 gamma=90.00
Element x y z (fractional)
Na (0.500, 0.500, 0.000)
Na (0.250, 0.750, 0.500)
K (0.000, 0.000, 0.000)
K (0.750, 0.250, 0.500)
Sn (0.523, 0.125, 0.250)
Sn (0.227, 0.625, 0.250)
Sn (0.375, 0.477, 0.750)
Sn (0.875, 0.773, 0.750)

Computed properties:
- Uncorrected energy: -10.3 eV per formula unit
- Energy above the most stable polymorph in this dataset: 211.2 meV per atom
- ΔH_f (0 K): 0.0337 eV/atom
- D(E_F): 0.91 states/eV per atom